! PBE with a Hubbard U Fe3Co2CuP6O24, relaxed; values from VASP
&SYSTEM
  ibrav = 0, nat = 36, ntyp = 5
/
ATOMIC_SPECIES
Fe 55.84 Fe.upf
Co 58.93 Co.upf
Cu 63.55 Cu.upf
P 30.97 P.upf
O 16.00 O.upf
ATOMIC_POSITIONS crystal
Fe 0.000 0.000 0.000
Fe 0.214 0.214 0.214
Fe 0.711 0.711 0.711
Co 0.357 0.357 0.357
Co 0.855 0.855 0.855
Cu 0.500 0.500 0.500
P 0.106 0.813 0.401
P 0.308 0.603 0.902
P 0.401 0.106 0.813
P 0.603 0.902 0.308
P 0.813 0.401 0.106
P 0.902 0.308 0.603
O 0.030 0.856 0.248
O 0.105 0.297 0.442
O 0.106 0.757 0.926
O 0.175 0.970 0.362
O 0.248 0.030 0.856
O 0.266 0.611 0.407
O 0.297 0.442 0.105
O 0.338 0.535 0.748
O 0.362 0.175 0.970
O 0.407 0.266 0.611
O 0.442 0.105 0.297
O 0.467 0.669 0.860
O 0.535 0.748 0.338
O 0.604 0.954 0.789
O 0.611 0.407 0.266
O 0.669 0.860 0.467
O 0.748 0.338 0.535
O 0.757 0.926 0.106
O 0.789 0.604 0.954
O 0.856 0.248 0.030
O 0.860 0.467 0.669
O 0.926 0.106 0.757
O 0.954 0.789 0.604
O 0.970 0.362 0.175
CELL_PARAMETERS angstrom
4.305 2.486 6.797
-4.305 2.486 6.797
0.000 -4.971 6.797
! Mass density in kg/m3: 3496
! Uncorrected energy in Ry per atom: -0.4939
! Density of states at the Fermi level in states/eV per cell: 14.03
! Space group: R3 (146)